1.
Computed, not measured: an optimized crystal structure of ZnOsW2 at the PBE-GGA level of DFT.

Results
The calculated total energy comes out at -9.249 eV/atom. The calculation puts the formation energy at 0.35 eV per atom.

Unit cell a=3.0667 b=4.4710 c=9.0335 alpha=90.00 beta=90.00 gamma=90.00
Space group Cmmm (No. 65)
Inequivalent atoms, fractional coordinates:
1 Zn 0.0000 0.0000 0.0000
2 Os 0.0000 0.0000 0.5000
3 W 0.0000 0.5000 0.2533



2.
Computed, not measured: an optimized crystal structure of V2FeRu3 at the PBE-GGA level of DFT.

Results
The calculated total energy comes out at -9.252 eV/atom. The calculation puts the formation energy at -0.16 eV per atom.

Unit cell a=3.0178 b=3.0178 c=8.9295 alpha=90.00 beta=90.00 gamma=90.00
Space group P4/mmm (No. 123)
Inequivalent atoms, fractional coordinates:
1 V 0.0000 0.0000 0.1739
2 Fe 0.0000 0.0000 0.5000
3 Ru 0.5000 0.5000 0.0000
4 Ru 0.5000 0.5000 0.3294



3.
Computed, not measured: an optimized crystal structure of Ba2TlSb2 at the PBE-GGA level of DFT.

Results
The calculated total energy comes out at -3.490 eV/atom. As for the offset from the most stable computed form: 176 meV per atom. For the uncorrected formation energy, the calculation gives -57.7 kJ per mole of atoms.

Unit cell a=9.9883 b=9.9883 c=3.9651 alpha=90.00 beta=90.00 gamma=90.00
Space group P4/mbm (No. 127)
Inequivalent atoms, fractional coordinates:
1 Ba 0.1334 0.3666 0.0000
2 Tl 0.0000 0.0000 0.0000
3 Sb 0.1668 0.6668 0.5000



4.
Computed, not measured: an optimized crystal structure of NbCrW2 at the PBE-GGA level of DFT.

Results
The calculated total energy comes out at -11.345 eV/atom. As for the offset from the most stable computed form: 0 meV per atom. The calculation puts the formation energy at 0.05 eV per atom.

Unit cell a=3.1360 b=3.1360 c=6.3393 alpha=90.00 beta=90.00 gamma=90.00
Space group P4/mmm (No. 123)
Inequivalent atoms, fractional coordinates:
1 Nb 0.0000 0.0000 0.0000
2 Cr 0.0000 0.0000 0.5000
3 W 0.5000 0.5000 0.2655



5.
Computed, not measured: an optimized crystal structure of LiTb2Al3Pt4 at the PBE-GGA level of DFT.

Results
The calculated total energy comes out at -5.695 eV/atom. The calculation puts the formation energy at -1.04 eV per atom.

Unit cell a=4.0685 b=4.0685 c=11.0934 alpha=90.00 beta=90.00 gamma=90.00
Space group P-4m2 (No. 115)
Inequivalent atoms, fractional coordinates:
1 Li 0.0000 0.0000 0.0000
2 Tb 0.0000 0.5000 0.7542
3 Al 0.0000 0.5000 0.3690
4 Al 0.5000 0.5000 0.0000
5 Pt 0.0000 0.0000 0.5000
6 Pt 0.0000 0.5000 0.1446
7 Pt 0.5000 0.5000 0.5000



6.
Computed, not measured: an optimized crystal structure of La6Tb16Ho7 at the PBE-GGA level of DFT.

Results
The calculated total energy comes out at -4.454 eV/atom. The calculation puts the formation energy at 0.23 eV per atom.

Unit cell a=15.9132 b=15.9132 c=15.9132 alpha=90.00 beta=90.00 gamma=90.00
Space group Fm-3m (No. 225)
Inequivalent atoms, fractional coordinates:
1 La 0.0000 0.0000 0.2278
2 Tb 0.1276 0.1276 0.3724
3 Tb 0.1523 0.1523 0.1523
4 Ho 0.0000 0.0000 0.5000
5 Ho 0.0000 0.2500 0.2500



7.
Computed, not measured: an optimized crystal structure of MnCd2 at the PBE-GGA level of DFT.

Results
The calculated total energy comes out at -3.398 eV/atom. The calculation puts the formation energy at 0.27 eV per atom.

Unit cell a=4.7893 b=4.7893 c=2.9354 alpha=90.00 beta=90.00 gamma=120.00
Space group P6/mmm (No. 191)
Inequivalent atoms, fractional coordinates:
1 Mn 0.0000 0.0000 0.0000
2 Cd 0.3333 0.6667 0.5000



8.
Computed, not measured: an optimized crystal structure of PrDy4Cu5 at the PBE-GGA level of DFT.

Results
The calculated total energy comes out at -4.595 eV/atom. The calculation puts the formation energy at -0.23 eV per atom.

Unit cell a=3.4749 b=3.4749 c=17.6981 alpha=90.00 beta=90.00 gamma=90.00
Space group P4/mmm (No. 123)
Inequivalent atoms, fractional coordinates:
1 Pr 0.0000 0.0000 0.0000
2 Dy 0.0000 0.0000 0.2049
3 Dy 0.0000 0.0000 0.4015
4 Cu 0.5000 0.5000 0.1114
5 Cu 0.5000 0.5000 0.3026
6 Cu 0.5000 0.5000 0.5000



9.
Computed, not measured: an optimized crystal structure of Na2TlCd9 at the PBE-GGA level of DFT.

Results
The calculated total energy comes out at -1.146 eV/atom. As for the offset from the most stable computed form: 0 meV per atom. The calculation puts the formation energy at -0.04 eV per atom.

Unit cell a=6.1107 b=6.1107 c=19.0169 alpha=90.00 beta=90.00 gamma=120.00
Space group P6_3/mmc (No. 194)
Inequivalent atoms, fractional coordinates:
1 Na 0.3333 0.6667 0.0372
2 Tl 0.3333 0.6667 0.2500
3 Cd 0.0000 0.0000 0.0000
4 Cd 0.0000 0.0000 0.2500
5 Cd 0.1703 0.3405 0.6216
6 Cd 0.3333 0.6667 0.7500



10.
Computed, not measured: an optimized crystal structure of DyNb2Ga6 at the PBE-GGA level of DFT.

Results
The calculated total energy comes out at -5.032 eV/atom. The calculation puts the formation energy at -0.26 eV per atom.

Unit cell a=3.9949 b=6.7240 c=12.5800 alpha=90.00 beta=90.00 gamma=90.00
Space group Immm (No. 71)
Inequivalent atoms, fractional coordinates:
1 Dy 0.0000 0.0000 0.0000
2 Nb 0.0000 0.5000 0.1166
3 Ga 0.0000 0.1874 0.5000
4 Ga 0.0000 0.2967 0.3107



11.
Computed, not measured: an optimized crystal structure of NaPm2F7 at the PBE-GGA level of DFT.

Results
The calculated total energy comes out at -6.206 eV/atom. For the uncorrected formation energy, the calculation gives -368.0 kJ per mole of atoms.

Unit cell a=4.0850 b=4.0850 c=32.8344 alpha=90.00 beta=90.00 gamma=120.00
Space group R-3m (No. 166, hexagonal axes)
Inequivalent atoms, fractional coordinates:
1 Na 0.0000 0.0000 0.0000
2 Pm 0.0000 0.0000 0.4303
3 F 0.0000 0.0000 0.0803
4 F 0.0000 0.0000 0.2220
5 F 0.0000 0.0000 0.3629
6 F 0.0000 0.0000 0.5000



12.
Computed, not measured: an optimized crystal structure of NdGa2SiRh4 at the PBE-GGA level of DFT.

Results
The calculated total energy comes out at -6.465 eV/atom. For the uncorrected formation energy, the calculation gives -73.2 kJ per mole of atoms.

Unit cell a=4.2620 b=4.2620 c=25.0625 alpha=90.00 beta=90.00 gamma=120.00
Space group R-3m (No. 166, hexagonal axes)
Inequivalent atoms, fractional coordinates:
1 Nd 0.0000 0.0000 0.0000
2 Ga 0.0000 0.0000 0.2433
3 Si 0.0000 0.0000 0.5000
4 Rh 0.0000 0.0000 0.1356
5 Rh 0.0000 0.0000 0.4061